[1]
Entry from Alexandria via LeMat-Bulk: an optimized crystal structure of CsHg2SbI8 (GGA-PBE).

Values from the calculation:
space-group type = P-1, No. 2
total magnetization = 0.00 μB per cell
formation energy without anion corrections = -0.50 eV/atom
DOS at the Fermi energy = 0.00 states/eV per cell
uncorrected energy = -24.02 eV for the cell shown

Cell lengths 7.6149, 7.6161, 11.1055 Å; angles 85.45, 85.43, 68.95 degrees
Atoms (fractional coordinates):
1 I 0.7746 0.2663 0.8019
2 I 0.2254 0.7337 0.1981
3 I 0.6842 0.6855 0.4475
4 I 0.3158 0.3145 0.5525
5 I 0.7574 0.7575 0.9806
6 I 0.7340 0.2257 0.1982
7 I 0.2426 0.2425 0.0194
8 I 0.2660 0.7743 0.8018
9 Sb 0.0000 0.0000 0.0000
10 Hg 0.3515 0.3511 0.7892
11 Hg 0.6485 0.6489 0.2108
12 Cs 0.0000 0.0000 0.5000


[2]
Entry from Alexandria via LeMat-Bulk: an optimized crystal structure of HoZn17Cd (GGA-PBE).

Values from the calculation:
space-group type = R3m, No. 160
total magnetization = 0.00 μB per cell
DOS at the Fermi energy = 4.38 states/eV per cell
formation energy from the elements = -0.09 eV/atom
uncorrected energy = -28.87 eV for the cell shown

Cell lengths 6.8192, 6.8192, 6.8192 Å; angles 81.83, 81.83, 81.83 degrees
Atoms (fractional coordinates):
1 Zn 0.3465 0.3465 0.8452
2 Zn 0.0996 0.0996 0.0996
3 Zn 0.9001 0.9001 0.9001
4 Zn 0.6832 0.0036 0.2992
5 Zn 0.8452 0.3465 0.3465
6 Zn 0.0036 0.2992 0.6832
7 Zn 0.2992 0.6832 0.0036
8 Zn 0.9864 0.9864 0.4961
9 Zn 0.0036 0.6832 0.2992
10 Zn 0.6832 0.2992 0.0036
11 Zn 0.1559 0.6537 0.6537
12 Zn 0.9864 0.4961 0.9864
13 Zn 0.2992 0.0036 0.6832
14 Zn 0.6537 0.1559 0.6537
15 Zn 0.3465 0.8452 0.3465
16 Zn 0.4961 0.9864 0.9864
17 Zn 0.6537 0.6537 0.1559
18 Ho 0.6622 0.6622 0.6622
19 Cd 0.3958 0.3958 0.3958


[3]
Entry from Alexandria via LeMat-Bulk: an optimized crystal structure of LaSiGe2Rh2 (GGA-PBE).

Values from the calculation:
space-group type = P4/mmm, No. 123
total magnetization = 0.00 μB per cell
formation energy without anion corrections = -0.51 eV/atom
DOS at the Fermi energy = 2.54 states/eV per cell
uncorrected energy = -37.37 eV for the cell shown

Cell lengths 4.5321, 4.5321, 5.6460 Å; angles 90.00, 90.00, 90.00 degrees
Atoms (fractional coordinates):
1 Rh 0.5000 0.0000 0.0000
2 Rh 0.0000 0.5000 0.0000
3 Ge 0.5000 0.5000 0.7341
4 Ge 0.5000 0.5000 0.2659
5 Si 0.0000 0.0000 0.0000
6 La 0.0000 0.0000 0.5000


[4]
Entry from Alexandria via LeMat-Bulk: an optimized crystal structure of FePt5Rh6 (GGA-PBE).

Values from the calculation:
space-group type = Immm, No. 71
total magnetization = 4.19 μB per cell
DOS at the Fermi energy = 17.50 states/eV per cell
formation energy from the elements = -0.06 eV/atom
uncorrected energy = -83.52 eV for the cell shown

Cell lengths 3.8909, 7.2680, 7.2680 Å; angles 106.69, 105.52, 105.52 degrees
Atoms (fractional coordinates):
1 Pt 0.5000 0.8364 0.1636
2 Pt 0.5000 0.5000 0.5000
3 Pt 0.0000 0.3369 0.6631
4 Pt 0.5000 0.1636 0.8364
5 Pt 0.0000 0.6631 0.3369
6 Rh 0.2587 0.7585 0.7585
7 Rh 0.2453 0.0800 0.4108
8 Rh 0.2453 0.4108 0.0800
9 Rh 0.7547 0.9200 0.5892
10 Rh 0.7547 0.5892 0.9200
11 Rh 0.7413 0.2415 0.2415
12 Fe 0.0000 0.0000 0.0000


[5]
Entry from Alexandria via LeMat-Bulk: an optimized crystal structure of ZnTe2 (GGA-PBE).

Values from the calculation:
space-group type = Imma, No. 74
total magnetization = 0.00 μB per cell
formation energy without anion corrections = 0.02 eV/atom
DOS at the Fermi energy = 2.25 states/eV per cell
uncorrected energy = -15.00 eV for the cell shown

Cell lengths 12.0763, 12.0763, 12.0763 Å; angles 161.19, 161.01, 26.85 degrees
Atoms (fractional coordinates):
1 Te 0.2059 0.9559 0.2500
2 Te 0.5832 0.8332 0.7500
3 Te 0.4168 0.1668 0.2500
4 Te 0.7941 0.0441 0.7500
5 Zn 0.0980 0.3480 0.7500
6 Zn 0.9020 0.6520 0.2500


[6]
Entry from Alexandria via LeMat-Bulk: an optimized crystal structure of PmPuTe4 (GGA-PBE).

Values from the calculation:
space-group type = I4_1/amd, No. 141
total magnetization = 10.31 μB per cell
formation energy without anion corrections = -0.94 eV/atom
DOS at the Fermi energy = 26.81 states/eV per cell
uncorrected energy = -74.56 eV for the cell shown

Cell lengths 8.0086, 8.0086, 8.6285 Å; angles 117.65, 117.65, 90.00 degrees
Atoms (fractional coordinates):
1 Te 0.8750 0.3768 0.2500
2 Te 0.8750 0.8732 0.2500
3 Te 0.6232 0.1250 0.7500
4 Te 0.3750 0.8732 0.2500
5 Te 0.3750 0.3768 0.2500
6 Te 0.1268 0.6250 0.7500
7 Te 0.6232 0.6250 0.7500
8 Te 0.1268 0.1250 0.7500
9 Pm 0.0000 0.0000 0.0000
10 Pm 0.7500 0.2500 0.5000
11 Pu 0.2500 0.7500 0.5000
12 Pu 0.5000 0.5000 0.0000


[7]
Entry from Alexandria via LeMat-Bulk: an optimized crystal structure of CeInPd (GGA-PBE).

Values from the calculation:
space-group type = P2_1/m, No. 11
total magnetization = 1.08 μB per cell
DOS at the Fermi energy = 11.91 states/eV per cell
formation energy from the elements = -0.56 eV/atom
uncorrected energy = -31.08 eV for the cell shown

Cell lengths 4.6245, 6.1906, 5.1398 Å; angles 105.30, 90.00, 90.00 degrees
Atoms (fractional coordinates):
1 Pd 0.2500 0.4757 0.6640
2 Pd 0.7500 0.5243 0.3360
3 In 0.7500 0.1737 0.5918
4 In 0.2500 0.8263 0.4082
5 Ce 0.7500 0.7586 0.9171
6 Ce 0.2500 0.2414 0.0829


[8]
Entry from Alexandria via LeMat-Bulk: an optimized crystal structure of Ac2LuPb (GGA-PBE).

Values from the calculation:
space-group type = P4/mmm, No. 123
total magnetization = 0.00 μB per cell
DOS at the Fermi energy = 4.84 states/eV per cell
formation energy from the elements = -0.20 eV/atom
uncorrected energy = -17.23 eV for the cell shown

Cell lengths 5.0958, 5.2573, 5.2573 Å; angles 90.00, 90.00, 90.00 degrees
Atoms (fractional coordinates):
1 Ac 0.0000 0.0000 0.5000
2 Ac 0.0000 0.5000 0.0000
3 Pb 0.5000 0.5000 0.5000
4 Lu 0.5000 0.0000 0.0000


[9]
Entry from Alexandria via LeMat-Bulk: an optimized crystal structure of LaSi (GGA-PBE).

Values from the calculation:
space-group type = Pnma, No. 62
total magnetization = 0.00 μB per cell
formation energy without anion corrections = -0.74 eV/atom
DOS at the Fermi energy = 8.14 states/eV per cell
uncorrected energy = -47.35 eV for the cell shown

Cell lengths 4.0141, 6.0409, 8.4406 Å; angles 90.00, 90.00, 90.00 degrees
Atoms (fractional coordinates):
1 Si 0.7500 0.1163 0.4669
2 Si 0.2500 0.6163 0.0331
3 Si 0.7500 0.3837 0.9669
4 Si 0.2500 0.8837 0.5331
5 La 0.2500 0.3861 0.6805
6 La 0.2500 0.1139 0.1805
7 La 0.7500 0.8861 0.8195
8 La 0.7500 0.6139 0.3195


[10]
Entry from Alexandria via LeMat-Bulk: an optimized crystal structure of La3Nd2Y2 (GGA-PBE).

Values from the calculation:
space-group type = C2/m, No. 12
total magnetization = 0.00 μB per cell
DOS at the Fermi energy = 10.16 states/eV per cell
formation energy from the elements = 0.09 eV/atom
uncorrected energy = -36.59 eV for the cell shown

Cell lengths 3.5719, 8.8328, 9.1008 Å; angles 117.89, 101.32, 90.00 degrees
Atoms (fractional coordinates):
1 La 0.7860 0.1967 0.5721
2 La 0.2140 0.8033 0.4279
3 La 0.0000 0.5000 0.0000
4 Y 0.4366 0.0942 0.8732
5 Y 0.5634 0.9058 0.1268
6 Nd 0.8561 0.6774 0.7123
7 Nd 0.1439 0.3226 0.2877


[11]
Entry from Alexandria via LeMat-Bulk: an optimized crystal structure of YMg3 (GGA-PBE).

Values from the calculation:
space-group type = P4/mmm, No. 123
total magnetization = 0.24 μB per cell
DOS at the Fermi energy = 3.22 states/eV per cell
formation energy from the elements = -0.05 eV/atom
uncorrected energy = -11.46 eV for the cell shown

Cell lengths 3.4470, 3.4470, 8.5020 Å; angles 90.00, 90.00, 89.99 degrees
Atoms (fractional coordinates):
1 Y 0.5000 0.5000 0.2500
2 Mg 0.0000 0.0000 0.9793
3 Mg 0.5000 0.5000 0.7500
4 Mg 0.0000 0.0000 0.5207


[12]
Entry from Alexandria via LeMat-Bulk: an optimized crystal structure of TbPr5Nd2Sc (GGA-PBE).

Values from the calculation:
space-group type = I4/mcm, No. 140
total magnetization = 0.00 μB per cell
DOS at the Fermi energy = 26.89 states/eV per cell
formation energy from the elements = 0.28 eV/atom
uncorrected energy = -83.77 eV for the cell shown

Cell lengths 8.5399, 8.5399, 10.4987 Å; angles 114.00, 114.00, 90.00 degrees
Atoms (fractional coordinates):
1 Pr 0.4280 0.3635 0.2915
2 Pr 0.5720 0.6365 0.7085
3 Pr 0.1365 0.0720 0.7085
4 Pr 0.9280 0.4280 0.2915
5 Pr 0.3635 0.8635 0.2915
6 Pr 0.6365 0.1365 0.7085
7 Pr 0.0720 0.5720 0.7085
8 Pr 0.0000 0.0000 0.0000
9 Pr 0.8635 0.9280 0.2915
10 Pr 0.5000 0.5000 0.0000
11 Nd 0.1247 0.3753 0.0000
12 Nd 0.6247 0.1247 0.0000
13 Nd 0.3753 0.8753 0.0000
14 Nd 0.8753 0.6247 0.0000
15 Tb 0.2500 0.2500 0.5000
16 Tb 0.7500 0.7500 0.5000
17 Sc 0.2500 0.7500 0.5000
18 Sc 0.7500 0.2500 0.5000


Question: Among the records above, which one has the lowest DOS at the Fermi energy?
Answer: CsHg2SbI8